An optimized crystal structure of Rb2Li2Te, computed with GGA-PBEsol.

a b c (Å): 5.780 7.740 7.740
angles (deg): 90.00 90.00 90.00
Positions (direct):
Te 0.000 0.000 0.000
Te 0.000 0.500 0.500
Rb 0.500 0.200 0.700
Rb 0.500 0.700 0.800
Rb 0.500 0.800 0.300
Rb 0.500 0.300 0.200
Li 0.000 0.358 0.858
Li 0.000 0.858 0.642
Li 0.000 0.642 0.142
Li 0.000 0.142 0.358

Its uncorrected formation energy is -37 kJ/mol of atoms. The value obtained for the total energy is -11.42 eV per formula unit.



An optimized crystal structure of Rb3LiTi, computed with GGA-PBEsol.

a b c (Å): 6.919 6.919 6.919
angles (deg): 90.00 90.00 90.00
Positions (direct):
Li 0.500 0.500 0.500
Rb 0.000 0.500 0.000
Rb 0.000 0.000 0.500
Rb 0.500 0.000 0.000
Ti 0.000 0.000 0.000

Its energy of formation from the pure elements is 0.992 eV/atom. The value obtained for the total energy is -8.40 eV per formula unit.



An optimized crystal structure of RbLi2Ti, computed with GGA-PBEsol.

a b c (Å): 5.533 5.533 5.533
angles (deg): 60.00 60.00 60.00
Positions (direct):
Li 0.250 0.250 0.250
Li 0.750 0.750 0.750
Rb 0.500 0.500 0.500
Ti 0.000 0.000 0.000

Its energy of formation from the pure elements is 0.897 eV/atom. The value obtained for the total energy is -9.69 eV per formula unit.



An optimized crystal structure of RbLi3Tl, computed with GGA-PBEsol.

a b c (Å): 5.419 5.419 5.419
angles (deg): 90.00 90.00 90.00
Positions (direct):
Tl 0.000 0.000 0.000
Rb 0.500 0.500 0.500
Li 0.000 0.500 0.000
Li 0.000 0.000 0.500
Li 0.500 0.000 0.000

The excess energy over the best structure of this formula in the dataset comes out at 0.0 meV per atom. Its energy of formation from the pure elements is -0.002 eV/atom. The value obtained for the total energy is -9.57 eV per formula unit.



An optimized crystal structure of RbLi3Tl, computed with GGA-PBEsol.

a b c (Å): 5.562 5.562 5.562
angles (deg): 90.00 90.00 90.00
Positions (direct):
Tl 0.500 0.500 0.500
Rb 0.000 0.000 0.000
Li 0.000 0.500 0.000
Li 0.000 0.000 0.500
Li 0.500 0.000 0.000

The excess energy over the best structure of this formula in the dataset comes out at 688.4 meV per atom. Its energy of formation from the pure elements is 0.686 eV/atom. The value obtained for the total energy is -6.13 eV per formula unit.



An optimized crystal structure of RbLi3Y, computed with GGA-PBEsol.

a b c (Å): 5.302 5.302 5.302
angles (deg): 90.00 90.00 90.00
Positions (direct):
Y 0.500 0.500 0.500
Rb 0.000 0.000 0.000
Li 0.000 0.500 0.000
Li 0.000 0.000 0.500
Li 0.500 0.000 0.000

Its energy of formation from the pure elements is 0.776 eV/atom. The value obtained for the total energy is -9.87 eV per formula unit.